1.
An optimized crystal structure of TaCd2CoHg. Source: the Alexandria database, functional PBE.

## Properties
For the formation energy, the calculation gives 162.4 kJ per mole of atoms.

The structure in POSCAR format:
```
TaCd2CoHg
1.0
5.0370 0.0000 0.0000
0.0000 5.0370 0.0000
0.0000 0.0000 4.7480
Ta Cd Co Hg
1 2 1 1
direct
0.0000 0.0000 0.0000
0.0000 0.5000 0.5000
0.5000 0.0000 0.5000
0.5000 0.5000 0.0000
0.5000 0.5000 0.5000
```

2.
An optimized crystal structure of Ba4SrPb3O12. Source: the Alexandria database, functional PBE.

## Properties
The value obtained for the raw formation energy is -34.31 eV/f.u.

The structure in POSCAR format:
```
Ba4SrPb3O12
1.0
-4.4316 4.4316 4.4316
4.4316 -4.4316 4.4316
4.4316 4.4316 -4.4316
Ba Sr Pb O
4 1 3 12
direct
0.0000 0.0000 0.5000
0.0000 0.5000 0.0000
0.5000 0.0000 0.0000
0.5000 0.5000 0.5000
0.0000 0.0000 0.0000
0.0000 0.5000 0.5000
0.5000 0.0000 0.5000
0.5000 0.5000 0.0000
0.0000 0.2653 0.2653
0.0000 0.7347 0.7347
0.2500 0.5000 0.7500
0.2500 0.7500 0.5000
0.2653 0.0000 0.2653
0.2653 0.2653 0.0000
0.5000 0.2500 0.7500
0.5000 0.7500 0.2500
0.7347 0.0000 0.7347
0.7347 0.7347 0.0000
0.7500 0.2500 0.5000
0.7500 0.5000 0.2500
```

3.
An optimized crystal structure of Ca2NbIrO. Source: the Alexandria database, functional PBE.

## Properties
The value obtained for the raw formation energy is 1.17 eV/f.u.

The structure in POSCAR format:
```
Ca2NbIrO
1.0
5.7787 0.0000 0.0000
0.0000 5.7787 0.0000
0.0000 0.0000 3.8272
Ca Nb Ir O
2 1 1 1
direct
0.0000 0.5000 0.0000
0.5000 0.0000 0.0000
0.0000 0.0000 0.0000
0.5000 0.5000 0.5000
0.0000 0.0000 0.5000
```

4.
An optimized crystal structure of KNaAg2Au. Source: the Alexandria database, functional PBE.

## Properties
For the formation energy, the calculation gives 16.1 kJ per mole of atoms.

The structure in POSCAR format:
```
KNaAg2Au
1.0
5.3517 0.0000 0.0000
0.0000 5.3517 0.0000
0.0000 0.0000 5.8345
K Na Ag Au
1 1 2 1
direct
0.0000 0.0000 0.0000
0.5000 0.5000 0.0000
0.0000 0.5000 0.5000
0.5000 0.0000 0.5000
0.0000 0.0000 0.5000
```

5.
An optimized crystal structure of Rb2TeBr5. Source: the Alexandria database, functional PBE.

## Properties
The value obtained for the raw formation energy is -7.92 eV/f.u.

The structure in POSCAR format:
```
Rb2TeBr5
1.0
-4.0141 4.0141 5.1560
4.0141 -4.0141 5.1560
4.0141 4.0141 -5.1560
Rb Te Br
2 1 5
direct
0.0000 0.5000 0.5000
0.5000 0.0000 0.5000
0.2450 0.2450 0.0000
0.0028 0.0028 0.5169
0.0028 0.4859 0.0000
0.4859 0.0028 0.0000
0.4859 0.4859 0.4831
0.5301 0.5301 0.0000
```

6.
An optimized crystal structure of MgNbSi2Bi. Source: the Alexandria database, functional PBE.

## Properties
The value obtained for the raw formation energy is 8.61 eV/f.u.

The structure in POSCAR format:
```
MgNbSi2Bi
1.0
5.3594 0.0000 0.0000
0.0000 5.3594 0.0000
0.0000 0.0000 5.1761
Mg Nb Si Bi
1 1 2 1
direct
0.0000 0.0000 0.0000
0.5000 0.5000 0.0000
0.0000 0.5000 0.5000
0.5000 0.0000 0.5000
0.0000 0.0000 0.5000
```

7.
An optimized crystal structure of Hg2TeI. Source: the Alexandria database, functional PBE.

## Properties
The value obtained for the raw formation energy is -0.27 eV/f.u.

The structure in POSCAR format:
```
Hg2TeI
1.0
2.3136 1.3357 8.6269
-2.3136 1.3357 8.6269
0.0000 -2.6715 8.6269
Hg Te I
2 1 1
direct
0.1104 0.1104 0.1104
0.8896 0.8896 0.8896
0.5000 0.5000 0.5000
0.0000 0.0000 0.0000
```

8.
An optimized crystal structure of ZrBi. Source: the Alexandria database, functional PBE.

## Properties
For the formation energy, the calculation gives -22.0 kJ per mole of atoms.

The structure in POSCAR format:
```
ZrBi
1.0
2.0519 1.1847 7.4127
-2.0519 1.1847 7.4127
0.0000 -2.3693 7.4127
Zr Bi
2 2
direct
0.0000 0.0000 0.0000
0.1726 0.1726 0.1726
0.4190 0.4190 0.4190
0.5869 0.5869 0.5869
```

9.
An optimized crystal structure of CeLuThZr. Source: the Alexandria database, functional PBE.

## Properties
For the formation energy, the calculation gives 16.9 kJ per mole of atoms.

The structure in POSCAR format:
```
CeLuThZr
1.0
0.0000 3.8439 3.8439
3.8439 0.0000 3.8439
3.8439 3.8439 0.0000
Ce Lu Th Zr
1 1 1 1
direct
0.0000 0.0000 0.0000
0.2500 0.2500 0.2500
0.5000 0.5000 0.5000
0.7500 0.7500 0.7500
```

10.
An optimized crystal structure of LaPr4Ho15. Source: the Alexandria database, functional PBE.

## Properties
For the formation energy, the calculation gives 2.4 kJ per mole of atoms.

The structure in POSCAR format:
```
LaPr4Ho15
1.0
5.0684 0.0000 0.0000
0.0000 5.0684 0.0000
0.0000 0.0000 25.1577
La Pr Ho
1 4 15
direct
0.0000 0.0000 0.0000
0.0000 0.0000 0.1998
0.0000 0.0000 0.4001
0.0000 0.0000 0.5999
0.0000 0.0000 0.8002
0.0000 0.5000 0.1007
0.0000 0.5000 0.3001
0.0000 0.5000 0.5000
0.0000 0.5000 0.6999
0.0000 0.5000 0.8993
0.5000 0.0000 0.1007
0.5000 0.0000 0.3001
0.5000 0.0000 0.5000
0.5000 0.0000 0.6999
0.5000 0.0000 0.8993
0.5000 0.5000 0.0000
0.5000 0.5000 0.2004
0.5000 0.5000 0.4000
0.5000 0.5000 0.6000
0.5000 0.5000 0.7996
```

11.
An optimized crystal structure of Pm12Sn5Se3. Source: the Alexandria database, functional PBE.

## Properties
The value obtained for the raw formation energy is -7.08 eV/f.u.

The structure in POSCAR format:
```
Pm12Sn5Se3
1.0
-8.9397 8.9397 8.9397
8.9397 -8.9397 8.9397
8.9397 8.9397 -8.9397
Pm Sn Se
48 20 12
direct
0.0598 0.2272 0.1363
0.0598 0.3326 0.9235
0.0765 0.6363 0.4091
0.0765 0.9402 0.6674
0.0909 0.7272 0.6674
0.0909 0.8637 0.4235
0.1363 0.0598 0.2272
0.1363 0.5765 0.9091
0.1674 0.2272 0.5909
0.1674 0.4402 0.5765
0.2272 0.1363 0.0598
0.2272 0.5909 0.1674
0.2728 0.3326 0.9091
0.2728 0.4402 0.3637
0.3326 0.9091 0.2728
0.3326 0.9235 0.0598
0.3637 0.2728 0.4402
0.3637 0.5909 0.9235
0.4091 0.0765 0.6363
0.4091 0.8326 0.7728
0.4235 0.0909 0.8637
0.4235 0.8326 0.5598
0.4402 0.3637 0.2728
0.4402 0.5765 0.1674
0.5598 0.4235 0.8326
0.5598 0.6363 0.7272
0.5765 0.1674 0.4402
0.5765 0.9091 0.1363
0.5909 0.1674 0.2272
0.5909 0.9235 0.3637
0.6363 0.4091 0.0765
0.6363 0.7272 0.5598
0.6674 0.0765 0.9402
0.6674 0.0909 0.7272
0.7272 0.5598 0.6363
0.7272 0.6674 0.0909
0.7728 0.4091 0.8326
0.7728 0.8637 0.9402
0.8326 0.5598 0.4235
0.8326 0.7728 0.4091
0.8637 0.4235 0.0909
0.8637 0.9402 0.7728
0.9091 0.1363 0.5765
0.9091 0.2728 0.3326
0.9235 0.0598 0.3326
0.9235 0.3637 0.5909
0.9402 0.6674 0.0765
0.9402 0.7728 0.8637
0.0000 0.0000 0.0000
0.0000 0.0000 0.5000
0.0000 0.5000 0.0000
0.0000 0.5000 0.5000
0.1250 0.7500 0.8750
0.1250 0.8750 0.2500
0.2500 0.1250 0.8750
0.2500 0.6250 0.3750
0.3750 0.2500 0.6250
0.3750 0.6250 0.7500
0.5000 0.0000 0.0000
0.5000 0.0000 0.5000
0.5000 0.5000 0.0000
0.5000 0.5000 0.5000
0.6250 0.3750 0.2500
0.6250 0.7500 0.3750
0.7500 0.3750 0.6250
0.7500 0.8750 0.1250
0.8750 0.1250 0.7500
0.8750 0.2500 0.1250
0.1250 0.2500 0.3750
0.1250 0.3750 0.7500
0.2500 0.3750 0.1250
0.2500 0.8750 0.6250
0.3750 0.1250 0.2500
0.3750 0.7500 0.1250
0.6250 0.2500 0.8750
0.6250 0.8750 0.7500
0.7500 0.1250 0.3750
0.7500 0.6250 0.8750
0.8750 0.6250 0.2500
0.8750 0.7500 0.6250
```

12.
An optimized crystal structure of TcRu2Se. Source: the Alexandria database, functional PBE.

## Properties
The value obtained for the raw formation energy is 1.90 eV/f.u.

The structure in POSCAR format:
```
TcRu2Se
1.0
4.5505 0.0000 0.0000
0.0000 4.5505 0.0000
0.0000 0.0000 2.8862
Tc Ru Se
1 2 1
direct
0.0000 0.0000 0.0000
0.0000 0.5000 0.5000
0.5000 0.0000 0.5000
0.5000 0.5000 0.0000
```

Number 1: DOS at the Fermi energy 7.50 states/eV per cell. Number 2: DOS at the Fermi energy 17.40 states/eV per cell. Number 3: DOS at the Fermi energy 4.37 states/eV per cell. Number 4: DOS at the Fermi energy 1.79 states/eV per cell. Number 5: DOS at the Fermi energy 0.33 states/eV per cell. Number 6: DOS at the Fermi energy 5.79 states/eV per cell. Number 7: DOS at the Fermi energy 1.71 states/eV per cell. Number 8: DOS at the Fermi energy 1.58 states/eV per cell. Number 9: DOS at the Fermi energy 9.48 states/eV per cell. Number 10: DOS at the Fermi energy 28.09 states/eV per cell. Number 11: DOS at the Fermi energy 61.94 states/eV per cell. Number 12: DOS at the Fermi energy 5.93 states/eV per cell.